Density functional theory data (PBE) for a relaxed structure of BaLi5Ag2.

Output
Final energy ... -18.2 eV/cell
Energy of formation from the pure elements ... -0.127 eV per atom
Density ... 3.3 g/cm3

a = 4.383 Å, b = 7.077 Å, c = 7.077 Å
α = 71.34°, β = 71.96°, γ = 71.96°
Sites, in units of the cell vectors:
Ba: 0.000 0.000 0.000
Li: 0.000 0.500 0.500
Li: 0.663 0.516 0.158
Li: 0.337 0.484 0.842
Li: 0.337 0.842 0.484
Li: 0.663 0.158 0.516
Ag: 0.751 0.749 0.749
Ag: 0.249 0.251 0.251